A plane-wave DFT calculation with PBE was carried out for a relaxed Co2NiAg crystal.

The calculation puts the energy relative to the elements at 0.3582 eV per atom. As for the energy above the lowest structure with this stoichiometry: 149 meV/atom.

It has space group C2/m (No. 12), with a = 5.144 Å, b = 7.621 Å, c = 2.609 Å, α = 90.00°, β = 90.45° and γ = 90.00°. Symmetry generates all atoms from Co at (0.250, 0.250, 0.000), Ni at (0.000, 0.000, 0.500) and Ag at (0.000, 0.500, 0.500).

A plane-wave DFT calculation with PBE was carried out for a relaxed CoNiAg2 crystal.

The calculation puts the energy relative to the elements at 0.4002 eV per atom. As for the energy above the lowest structure with this stoichiometry: 192 meV/atom.

It has space group P4/mmm (No. 123), with a = 2.730 Å, b = 2.730 Å, c = 7.790 Å, α = 90.00°, β = 90.00° and γ = 90.00°. Symmetry generates all atoms from Co at (0.000, 0.000, 0.000), Ni at (0.000, 0.000, 0.500) and Ag at (0.500, 0.500, 0.254).

A plane-wave DFT calculation with PBE was carried out for a relaxed CoNiAg2 crystal.

The calculation puts the energy relative to the elements at 0.4619 eV per atom. As for the energy above the lowest structure with this stoichiometry: 254 meV/atom.

It has space group Fm-3m (No. 225), with a = 6.145 Å, b = 6.145 Å, c = 6.145 Å, α = 90.00°, β = 90.00° and γ = 90.00°. Symmetry generates all atoms from Co at (0.000, 0.000, 0.000), Ni at (0.000, 0.000, 0.500) and Ag at (0.250, 0.250, 0.250).

A plane-wave DFT calculation with PBE was carried out for a relaxed Co2NiAg crystal.

The calculation puts the energy relative to the elements at 0.4609 eV per atom. As for the energy above the lowest structure with this stoichiometry: 252 meV/atom.

It has space group Fm-3m (No. 225), with a = 5.902 Å, b = 5.902 Å, c = 5.902 Å, α = 90.00°, β = 90.00° and γ = 90.00°. Symmetry generates all atoms from Co at (0.250, 0.250, 0.250), Ni at (0.000, 0.000, 0.000) and Ag at (0.000, 0.000, 0.500).

Among the records above, which one has the lowest energy above the lowest structure with this stoichiometry?
number 1

Number 3 is which compound?
CoNiAg2